Material: SiBAuN2
Method: DFT, GGA-PBEsol
State: optimized geometry

Lattice parameters (Å, degrees): 3.2762 3.2762 5.8903 90.00 90.00 90.00
Last column: nearest neighbours and their distance in Å.
Space group P4/mmm (No. 123)
Symmetry-distinct sites (fractional):
1 Si 0.0000 0.0000 0.0000 (multiplicity 1)  4 Au 2.32
2 B 0.0000 0.0000 0.5000 (multiplicity 1)  4 N 1.64
3 Au 0.5000 0.5000 0.0000 (multiplicity 1)  4 Si 2.32
4 N 0.0000 0.5000 0.5000 (multiplicity 2)  2 B 1.64

Properties
E_form (uncorrected) = 27.74 kcal/mol of atoms